A relaxed structure of InB3Sb. Source: the Alexandria database, functional PBE.

Lattice parameters (Å, degrees): 4.5246 4.5246 4.5246 90.00 90.00 90.00
Positions (direct):
B1 0.5000 0.0000 0.0000
In1 0.0000 0.0000 0.0000
Sb1 0.5000 0.5000 0.5000
B2 0.0000 0.0000 0.5000
B3 0.0000 0.5000 0.0000

density	4.82	g cm⁻³
magnetic moment	0.000	μB per formula unit
uncorrected formation energy	2132	meV per atom
excess energy over the best structure of this formula in the dataset	0.160	eV per atom
total energy	-3.25	eV/atom

***

A relaxed structure of LaErNi. Source: the Alexandria database, functional PBE.

Lattice parameters (Å, degrees): 6.8611 6.6468 6.9037 97.81 90.00 90.00
Positions (direct):
Ni1 0.0359 0.0657 0.3252
Ni2 0.5359 0.9343 0.1748
La1 0.1672 0.3409 0.6455
La2 0.3328 0.3409 0.1455
Ni3 0.9641 0.9343 0.6748
Ni4 0.4641 0.0657 0.8252
Er1 0.8182 0.1696 0.0076
Er2 0.1818 0.8304 0.9924
La3 0.6672 0.6591 0.8545
Er3 0.6818 0.1696 0.5076
La4 0.8328 0.6591 0.3545
Er4 0.3182 0.8304 0.4924

density	7.77	g cm⁻³
magnetic moment	0.000	μB per formula unit
energy of formation from the pure elements	-0.27	eV per atom
excess energy over the best structure of this formula in the dataset	0.000	eV per atom
total energy	-5.36	eV/atom

***

A relaxed structure of Te2PbSe. Source: the Alexandria database, functional PBE.

Lattice parameters (Å, degrees): 8.1952 8.1952 4.2700 75.02 75.02 29.03
Positions (direct):
Te1 0.5263 0.5263 0.4727
Se1 0.7500 0.7500 0.7500
Pb1 0.2500 0.2500 0.2500
Te2 0.9737 0.9737 0.0273

density	6.70	g cm⁻³
magnetic moment	0.000	μB per formula unit
uncorrected formation energy	-65	meV per atom
total energy	-3.43	eV/atom

***

A relaxed structure of TlCr2Co. Source: the Alexandria database, functional PBE.

Lattice parameters (Å, degrees): 4.7123 4.7123 4.5767 77.58 77.58 36.03
Site moments in Bohr magnetons follow the coordinates.
Positions (direct):
Cr1 0.5135 0.5135 0.4202  0.01
Co1 0.2500 0.2500 0.2500  0.53
Cr2 0.9865 0.9865 0.0798  0.01
Tl1 0.7500 0.7500 0.7500  -0.01

density	10.47	g cm⁻³
magnetic moment	0.518	μB per formula unit
energy of formation from the pure elements	0.58	eV per atom
excess energy over the best structure of this formula in the dataset	0.112	eV per atom
total energy	-6.60	eV/atom

***

A relaxed structure of TcSb2Se. Source: the Alexandria database, functional PBE.

Lattice parameters (Å, degrees): 3.1233 3.1233 9.3143 90.00 90.00 90.01
Positions (direct):
Tc1 0.5000 0.5000 0.7340
Sb1 0.0000 0.0000 0.9396
Se1 0.0000 0.0000 0.5879
Sb2 0.5000 0.5000 0.2385

density	7.68	g cm⁻³
magnetic moment	0.000	μB per formula unit
uncorrected formation energy	43	meV per atom
total energy	-5.48	eV/atom

***

A relaxed structure of Dy2Al2Au. Source: the Alexandria database, functional PBE.

Lattice parameters (Å, degrees): 4.4839 5.8187 9.7203 87.35 76.66 67.34
Positions (direct):
Dy1 0.9234 0.2607 0.8925
Al1 0.6352 0.8431 0.8865
Al2 0.9126 0.7304 0.4443
Dy2 0.6792 0.3152 0.3265
Al3 0.0874 0.2696 0.5557
Dy3 0.0766 0.7393 0.1075
Dy4 0.3208 0.6848 0.6735
Al4 0.3648 0.1569 0.1135
Au1 0.6157 0.1100 0.6586
Au2 0.3843 0.8900 0.3414

density	8.41	g cm⁻³
magnetic moment	0.000	μB per formula unit
energy of formation from the pure elements	-0.63	eV per atom
total energy	-4.62	eV/atom

***

A relaxed structure of Na2Sm4Te3N2. Source: the Alexandria database, functional PBE.

Lattice parameters (Å, degrees): 4.8348 4.8348 12.9815 100.73 100.73 90.00
Positions (direct):
Te1 0.0000 0.0000 0.0000
N1 0.5952 0.5952 0.1904
Te2 0.8234 0.8234 0.6467
Sm1 0.9126 0.4126 0.8251
N2 0.4048 0.4048 0.8096
Na1 0.6959 0.6959 0.3918
Sm2 0.4126 0.9126 0.8251
Sm3 0.5874 0.0874 0.1749
Sm4 0.0874 0.5874 0.1749
Na2 0.3041 0.3041 0.6082
Te3 0.1766 0.1766 0.3533

density	6.00	g cm⁻³
magnetic moment	0.000	μB per formula unit
uncorrected formation energy	-1101	meV per atom
total energy	-5.43	eV/atom

***

A relaxed structure of ZrSc2Zn2Pd2. Source: the Alexandria database, functional PBE.

Lattice parameters (Å, degrees): 4.5829 5.2479 6.1973 103.85 90.00 115.89
Positions (direct):
Zr1 0.0000 0.0000 0.0000
Sc1 0.3512 0.7023 0.2492
Pd1 0.3565 0.7129 0.7926
Zn1 0.8784 0.7569 0.5405
Pd2 0.6435 0.2871 0.2074
Sc2 0.6488 0.2977 0.7508
Zn2 0.1216 0.2431 0.4595

density	6.74	g cm⁻³
magnetic moment	0.000	μB per formula unit
energy of formation from the pure elements	-0.53	eV per atom
total energy	-5.40	eV/atom

***

A relaxed structure of Pu2PaV. Source: the Alexandria database, functional PBE.

Lattice parameters (Å, degrees): 3.0858 5.1951 5.1951 90.00 90.00 90.00
Site moments in Bohr magnetons follow the coordinates.
Positions (direct):
Pu1 0.0000 0.0000 0.5000  4.69
V1 0.5000 0.0000 0.0000  -0.45
Pu2 0.0000 0.5000 0.0000  4.69
Pa1 0.5000 0.5000 0.5000  0.14

density	15.35	g cm⁻³
magnetic moment	9.319	μB per formula unit
energy of formation from the pure elements	0.34	eV per atom
excess energy over the best structure of this formula in the dataset	0.120	eV per atom
total energy	-11.48	eV/atom

***

A relaxed structure of NaSI3. Source: the Alexandria database, functional PBE.

Lattice parameters (Å, degrees): 6.0019 6.0019 6.0019 90.00 90.00 90.00
Site moments in Bohr magnetons follow the coordinates.
Positions (direct):
S1 0.5000 0.5000 0.5000  1.25
I1 0.5000 0.0000 0.0000  0.42
Na1 0.0000 0.0000 0.0000  0.00
I2 0.0000 0.0000 0.5000  0.43
I3 0.0000 0.5000 0.0000  0.42

density	3.35	g cm⁻³
magnetic moment	4.000	μB per formula unit
uncorrected formation energy	384	meV per atom
excess energy over the best structure of this formula in the dataset	0.634	eV per atom
total energy	-1.64	eV/atom

***

A relaxed structure of BeH. Source: the Alexandria database, functional PBE.

Lattice parameters (Å, degrees): 3.7223 2.3291 7.8114 90.00 116.48 90.00
Positions (direct):
Be1 0.4120 0.0000 0.8192
H1 0.1494 0.5000 0.8126
H2 0.1494 0.0000 0.3126
Be2 0.9806 0.5000 0.9566
H3 0.3501 0.0000 0.6251
H4 0.3501 0.5000 0.1251
Be3 0.9806 0.0000 0.4566
Be4 0.4120 0.5000 0.3192

density	1.10	g cm⁻³
magnetic moment	0.000	μB per formula unit
excess energy over the best structure of this formula in the dataset	0.093	eV per atom
total energy	-3.34	eV/atom

***

A relaxed structure of Zn3GaPd12. Source: the Alexandria database, functional PBE.

Lattice parameters (Å, degrees): 3.9181 3.9181 15.6442 90.00 90.00 90.00
Positions (direct):
Pd1 0.5000 0.0000 0.3752
Pd2 0.5000 0.0000 0.6248
Pd3 0.0000 0.5000 0.6248
Pd4 0.0000 0.5000 0.3752
Pd5 0.5000 0.5000 0.2502
Pd6 0.5000 0.0000 0.1247
Pd7 0.5000 0.5000 0.5000
Zn1 0.0000 0.0000 0.5000
Pd8 0.0000 0.5000 0.8753
Ga1 0.0000 0.0000 0.0000
Pd9 0.5000 0.5000 0.0000
Pd10 0.5000 0.0000 0.8753
Pd11 0.0000 0.5000 0.1247
Zn2 0.0000 0.0000 0.2499
Zn3 0.0000 0.0000 0.7501
Pd12 0.5000 0.5000 0.7498

density	10.67	g cm⁻³
magnetic moment	0.000	μB per formula unit
energy of formation from the pure elements	-0.33	eV per atom
total energy	-4.65	eV/atom

***

A relaxed structure of CaTc2B. Source: the Alexandria database, functional PBE.

Lattice parameters (Å, degrees): 5.2347 5.2347 7.1492 68.52 68.52 90.00
Positions (direct):
Tc1 0.3749 0.1250 0.2500
Ca1 0.0000 0.0000 0.0000
Tc2 0.3751 0.6250 0.2500
B1 0.2500 0.7500 0.5000
Tc3 0.3750 0.6251 0.7500
B2 0.5000 0.5000 0.0000
Tc4 0.8750 0.6249 0.7500
Ca2 0.7500 0.2500 0.5000

density	4.89	g cm⁻³
magnetic moment	0.000	μB per formula unit
energy of formation from the pure elements	0.82	eV per atom
total energy	-6.53	eV/atom

***

A relaxed structure of TaS. Source: the Alexandria database, functional PBE.

Lattice parameters (Å, degrees): 3.1676 3.1676 12.3212 90.00 90.00 120.00
Positions (direct):
Ta1 0.3333 0.6667 0.2998
S1 0.6667 0.3333 0.1679
Ta2 0.6667 0.3333 0.9665
S2 0.3333 0.6667 0.5013
Ta3 0.0000 0.0000 0.6332
S3 0.0000 0.0000 0.8346

density	9.91	g cm⁻³
magnetic moment	0.000	μB per formula unit
uncorrected formation energy	-550	meV per atom
total energy	-8.54	eV/atom

***

A relaxed structure of EuGdHo. Source: the Alexandria database, functional PBE.

Lattice parameters (Å, degrees): 3.6680 3.6680 8.0772 103.12 103.12 90.00
Site moments in Bohr magnetons follow the coordinates.
Positions (direct):
Ho1 0.6736 0.6736 0.3472  0.00
Eu1 0.0035 0.0035 0.0069  -6.97
Gd1 0.3230 0.3230 0.6459  7.25

density	7.65	g cm⁻³
magnetic moment	0.096	μB per formula unit
energy of formation from the pure elements	0.05	eV per atom
excess energy over the best structure of this formula in the dataset	0.000	eV per atom
total energy	-9.59	eV/atom

***

A relaxed structure of K4NdU3Se8. Source: the Alexandria database, functional PBE.

Lattice parameters (Å, degrees): 8.5021 9.1677 8.5020 117.62 120.00 90.00
Site moments in Bohr magnetons follow the coordinates.
Positions (direct):
U1 0.0000 0.5000 0.5000  2.69
Se1 0.7603 0.2897 0.5206  -0.04
K1 0.5000 0.0000 0.0000  0.00
Se2 0.2644 0.2931 0.5287  -0.06
Se3 0.7356 0.7069 0.4713  -0.06
Se4 0.7603 0.2897 0.0294  -0.04
U2 0.5000 0.5000 0.0000  2.69
K2 0.5000 0.0000 0.5000  0.00
Se5 0.2397 0.7103 0.9706  -0.04
K3 0.0000 0.0000 0.0000  0.00
Se6 0.2397 0.7103 0.4794  -0.04
U3 0.5000 0.5000 0.5000  2.69
K4 0.0000 0.0000 0.5000  0.00
Se7 0.2692 0.2897 0.0294  -0.04
Nd1 0.0000 0.5000 0.0000  0.14
Se8 0.7308 0.7103 0.9706  -0.04

density	5.64	g cm⁻³
magnetic moment	9.009	μB per formula unit
uncorrected formation energy	-1354	meV per atom
total energy	-5.79	eV/atom

***

A relaxed structure of Ta2Mn2Fe. Source: the Alexandria database, functional PBE.

Lattice parameters (Å, degrees): 3.0249 3.0249 8.1594 79.32 79.32 90.00
Positions (direct):
Ta1 0.3982 0.3982 0.2036
Ta2 0.6018 0.6018 0.7964
Mn1 0.2500 0.7500 0.5000
Mn2 0.7500 0.2500 0.5000
Fe1 0.0000 0.0000 0.0000

density	12.16	g cm⁻³
magnetic moment	0.000	μB per formula unit
energy of formation from the pure elements	0.29	eV per atom
excess energy over the best structure of this formula in the dataset	0.205	eV per atom
total energy	-9.81	eV/atom

***

A relaxed structure of Ac2NpCrS6. Source: the Alexandria database, functional PBE.

Lattice parameters (Å, degrees): 6.7228 7.2459 9.8030 90.00 91.15 90.00
Site moments in Bohr magnetons follow the coordinates.
Positions (direct):
S1 0.3239 0.7091 0.4516  -0.01
S2 0.7960 0.8175 0.5473  -0.01
Ac1 0.9726 0.0856 0.7518  0.01
S3 0.4066 0.9842 0.7346  -0.02
Np1 0.0000 0.5000 0.5000  3.66
Cr1 0.5000 0.0000 0.5000  -2.55
S4 0.1761 0.2091 0.0484  -0.01
Ac2 0.0274 0.9144 0.2482  0.01
S5 0.6761 0.2909 0.5484  -0.01
S6 0.7040 0.3175 0.9527  -0.01
S7 0.8239 0.7909 0.9516  -0.01
S8 0.9066 0.5158 0.2346  -0.02
Np2 0.5000 0.0000 0.0000  3.66
Ac3 0.4726 0.4144 0.2518  0.01
S9 0.5934 0.0158 0.2654  -0.02
S10 0.2960 0.6825 0.0473  -0.01
S11 0.2040 0.1825 0.4527  -0.01
Cr2 0.0000 0.5000 0.0000  -2.55
Ac4 0.5274 0.5856 0.7482  0.01
S12 0.0934 0.4842 0.7654  -0.02

density	6.51	g cm⁻³
magnetic moment	0.990	μB per formula unit
uncorrected formation energy	-1579	meV per atom
total energy	-7.13	eV/atom

***

A relaxed structure of Pr8HC3I4. Source: the Alexandria database, functional PBE.

Lattice parameters (Å, degrees): 7.8414 9.0567 7.8533 115.73 119.95 90.00
Positions (direct):
Pr1 0.7654 0.3216 0.0561
C1 0.5000 0.5000 0.5000
I1 0.0000 0.0000 0.5000
I2 0.5000 0.0000 0.5000
I3 0.5000 0.0000 0.0000
Pr2 0.7652 0.3211 0.5303
H1 0.0000 0.5000 0.0000
Pr3 0.2907 0.3216 0.0561
Pr4 0.2749 0.3252 0.5499
C2 0.5000 0.5000 0.0000
Pr5 0.2346 0.6784 0.9439
Pr6 0.2348 0.6789 0.4697
Pr7 0.7251 0.6748 0.4501
C3 0.0000 0.5000 0.5000
I4 0.0000 0.0000 0.0000
Pr8 0.7093 0.6784 0.9439

density	6.64	g cm⁻³
magnetic moment	0.000	μB per formula unit
total energy	-5.35	eV/atom

***

A relaxed structure of Ba4Sr4Li. Source: the Alexandria database, functional PBE.

Lattice parameters (Å, degrees): 6.4215 9.4189 9.4189 83.33 70.07 70.07
Positions (direct):
Ba1 0.0000 0.3193 0.6807
Ba2 0.6807 0.3193 0.3193
Sr1 0.6614 0.0003 0.6770
Sr2 0.6616 0.6770 0.9997
Sr3 0.3384 0.3230 0.0003
Ba3 0.0000 0.6807 0.3193
Li1 0.0000 0.0000 0.0000
Ba4 0.3193 0.6807 0.6807
Sr4 0.3386 0.9997 0.3230

density	2.99	g cm⁻³
magnetic moment	0.000	μB per formula unit
energy of formation from the pure elements	0.04	eV per atom
excess energy over the best structure of this formula in the dataset	0.005	eV per atom
total energy	-1.77	eV/atom

***

A relaxed structure of Sr2Zn3Cu2. Source: the Alexandria database, functional PBE.

Lattice parameters (Å, degrees): 4.1750 5.9323 7.5512 117.87 90.00 110.60
Positions (direct):
Zn1 0.5000 0.0000 0.0000
Zn2 0.6562 0.3125 0.4275
Cu1 0.1261 0.2522 0.1973
Zn3 0.3438 0.6875 0.5725
Sr1 0.8653 0.7306 0.2391
Sr2 0.1347 0.2694 0.7609
Cu2 0.8739 0.7478 0.8027

density	5.46	g cm⁻³
magnetic moment	0.000	μB per formula unit
energy of formation from the pure elements	-0.17	eV per atom
total energy	-2.37	eV/atom

***

A relaxed structure of BaPaTcN4. Source: the Alexandria database, functional PBE.

Lattice parameters (Å, degrees): 6.0772 5.7158 7.4394 90.00 107.27 90.00
Positions (direct):
N1 0.9835 0.4881 0.6854
N2 0.9835 0.0119 0.6854
Pa1 0.7995 0.7500 0.4615
Tc1 0.7445 0.2500 0.6656
Tc2 0.2555 0.7500 0.3344
N3 0.5581 0.2500 0.8184
N4 0.0165 0.5119 0.3146
N5 0.4691 0.7500 0.5648
N6 0.0165 0.9881 0.3146
Ba1 0.2828 0.2500 0.0654
N7 0.5309 0.2500 0.4352
N8 0.4419 0.7500 0.1816
Ba2 0.7172 0.7500 0.9346
Pa2 0.2005 0.2500 0.5385

density	7.03	g cm⁻³
magnetic moment	0.000	μB per formula unit
uncorrected formation energy	-765	meV per atom
total energy	-8.63	eV/atom

***

A relaxed structure of Mn2FeRu. Source: the Alexandria database, functional PBE.

Lattice parameters (Å, degrees): 5.0548 5.0548 5.0548 110.13 110.13 108.16
Site moments in Bohr magnetons follow the coordinates.
Positions (direct):
Mn1 0.7500 0.2500 0.0000  2.69
Fe1 0.7500 0.7500 0.0000  0.71
Ru1 0.2500 0.7500 0.5000  -0.04
Mn2 0.2500 0.2500 0.5000  2.69
Fe2 0.2500 0.2500 0.0000  0.71
Mn3 0.2500 0.7500 0.0000  2.69
Ru2 0.7500 0.2500 0.5000  -0.04
Mn4 0.7500 0.7500 0.5000  2.69

density	8.92	g cm⁻³
magnetic moment	6.128	μB per formula unit
energy of formation from the pure elements	0.13	eV per atom
excess energy over the best structure of this formula in the dataset	0.118	eV per atom
total energy	-8.89	eV/atom

***

A relaxed structure of LiCuW. Source: the Alexandria database, functional PBE.

Lattice parameters (Å, degrees): 7.1724 7.0060 2.6118 83.00 75.81 21.19
Positions (direct):
Li1 0.3395 0.3395 0.6605
W1 0.6608 0.6608 0.3392
Cu1 0.9997 0.9997 0.0003

density	9.64	g cm⁻³
magnetic moment	0.000	μB per formula unit
energy of formation from the pure elements	0.34	eV per atom
excess energy over the best structure of this formula in the dataset	0.000	eV per atom
total energy	-5.98	eV/atom